Record 1
DFT (PBE) results for a geometry-optimized DyLu2O4 structure.

Values from the calculation:
Space group: No. 227

The structure in extended XYZ format:
```
14
Lattice="0.000 4.687 4.687 4.687 0.000 4.687 4.687 4.687 0.000" Properties=species:S:1:pos:R:3 pbc="T T T"
Dy 1.172 1.172 1.172
Dy 8.203 8.203 8.203
Lu 4.687 2.344 2.344
Lu 2.344 4.687 2.344
Lu 2.344 2.344 4.687
Lu 4.687 4.687 4.687
O 2.450 2.450 2.450
O 4.581 4.581 2.450
O 4.581 2.450 4.581
O 6.924 4.794 4.794
O 2.450 4.581 4.581
O 4.794 6.924 4.794
O 4.794 4.794 6.924
O 6.924 6.924 6.924
```



Record 2
DFT (PBE) results for a geometry-optimized HoTmSe2Br2 structure.

Values from the calculation:
Space group: No. 25

The structure in extended XYZ format:
```
6
Lattice="4.059 0.000 0.000 0.000 5.580 0.000 0.000 0.000 8.445" Properties=species:S:1:pos:R:3 pbc="T T T"
Ho 0.000 0.000 0.000
Tm 2.030 2.790 6.133
Se 0.000 2.790 8.112
Se 2.030 0.000 6.432
Br 0.000 2.790 4.227
Br 2.030 0.000 1.938
```



Record 3
DFT (PBE) results for a geometry-optimized PdPb2SO6 structure.

Values from the calculation:
Space group: No. 14

The structure in extended XYZ format:
```
20
Lattice="5.921 0.000 0.000 0.000 5.444 0.000 -5.807 0.000 7.421" Properties=species:S:1:pos:R:3 pbc="T T T"
Pd 0.000 0.000 0.000
Pd -2.903 2.722 3.711
Pb -2.867 0.051 5.551
Pb 0.037 2.671 1.840
Pb 0.078 2.773 5.581
Pb 2.981 5.393 1.870
S 0.057 0.000 3.711
S 2.961 2.722 0.000
O -3.369 2.801 5.734
O -0.465 5.365 2.023
O 1.772 3.805 0.358
O -1.131 4.360 4.069
O -1.020 1.294 3.967
O 1.883 1.428 0.257
O -1.769 4.016 7.165
O 1.135 4.150 3.454
O 1.245 1.084 3.352
O -1.658 1.638 7.063
O 0.580 0.079 5.398
O 3.483 2.643 1.687
```



Record 4
DFT (PBE) results for a geometry-optimized KBaNdS3 structure.

Values from the calculation:
Space group: No. 63

The structure in extended XYZ format:
```
12
Lattice="2.170 -9.401 0.000 2.170 9.401 0.000 0.000 0.000 11.892" Properties=species:S:1:pos:R:3 pbc="T T T"
K 2.170 7.281 8.919
K 2.170 -7.281 2.973
Ba 2.170 7.133 2.973
Ba 2.170 -7.133 8.919
Nd 2.170 0.000 0.000
Nd 2.170 0.000 5.946
S 2.170 7.523 0.006
S 2.170 7.523 5.939
S 2.170 0.186 8.919
S 2.170 -0.186 2.973
S 2.170 -7.523 5.952
S 2.170 -7.523 11.885
```



Record 5
DFT (PBE) results for a geometry-optimized Na4Sn2PdPt structure.

Values from the calculation:
Space group: No. 115

The structure in extended XYZ format:
```
8
Lattice="4.826 0.000 0.000 0.000 4.826 0.000 0.000 0.000 6.815" Properties=species:S:1:pos:R:3 pbc="T T T"
Na 0.000 0.000 0.000
Na 0.000 2.413 1.701
Na 2.413 0.000 5.114
Na 2.413 2.413 3.407
Sn 0.000 2.413 5.098
Sn 2.413 0.000 1.716
Pd 2.413 2.413 0.000
Pt 0.000 0.000 3.407
```



Record 6
DFT (PBE) results for a geometry-optimized K2H6IrO6 structure.

Values from the calculation:
Space group: No. 148

The structure in extended XYZ format:
```
15
Lattice="3.196 1.845 4.109 -3.196 1.845 4.109 0.000 -3.690 4.109" Properties=species:S:1:pos:R:3 pbc="T T T"
K 0.000 0.000 2.594
K 0.000 0.000 9.735
H -0.470 -1.808 4.454
H -1.331 1.311 4.454
H -1.801 -0.497 7.874
H 1.801 0.497 4.454
H 1.331 -1.311 7.874
H 0.470 1.808 7.874
Ir 0.000 0.000 6.164
O -1.571 0.495 4.974
O -1.214 -1.113 7.354
O 0.357 -1.608 4.974
O -0.357 1.608 7.354
O 1.214 1.113 4.974
O 1.571 -0.495 7.354
```



Record 7
DFT (PBE) results for a geometry-optimized RbTaAl structure.

Values from the calculation:
Space group: No. 216
Relative energy among the computed polymorphs, meV/atom: 736

The structure in extended XYZ format:
```
3
Lattice="0.000 3.582 3.582 3.582 0.000 3.582 3.582 3.582 0.000" Properties=species:S:1:pos:R:3 pbc="T T T"
Rb 0.000 0.000 0.000
Ta 1.791 1.791 1.791
Al 5.373 5.373 5.373
```



Record 8
DFT (PBE) results for a geometry-optimized LiSnHg3Te4 structure.

Values from the calculation:
Space group: No. 215

The structure in extended XYZ format:
```
9
Lattice="6.870 0.000 0.000 0.000 6.870 0.000 0.000 0.000 6.870" Properties=species:S:1:pos:R:3 pbc="T T T"
Li 0.000 0.000 0.000
Sn 3.435 3.435 3.435
Hg 0.000 3.435 3.435
Hg 3.435 0.000 3.435
Hg 3.435 3.435 0.000
Te 1.657 1.657 1.657
Te 1.657 5.214 5.214
Te 5.214 1.657 5.214
Te 5.214 5.214 1.657
```



Record 9
DFT (PBE) results for a geometry-optimized Pm2TcN3 structure.

Values from the calculation:
Space group: No. 71

The structure in extended XYZ format:
```
6
Lattice="-1.716 1.931 6.449 1.716 -1.931 6.449 1.716 1.931 -6.449" Properties=species:S:1:pos:R:3 pbc="T T T"
Pm 0.000 0.000 1.937
Pm 0.000 0.000 10.961
Tc 0.000 0.000 6.449
N 1.716 0.000 0.000
N 0.000 0.000 4.359
N 0.000 0.000 8.538
```



Record 10
DFT (PBE) results for a geometry-optimized Gd3Mg3Cd2In structure.

Values from the calculation:
Space group: No. 189

The structure in extended XYZ format:
```
9
Lattice="7.506 0.000 0.000 -3.753 6.501 0.000 0.000 0.000 4.727" Properties=species:S:1:pos:R:3 pbc="T T T"
Gd -1.608 2.786 0.000
Gd 3.217 0.000 0.000
Gd 2.145 3.715 0.000
Mg -2.844 4.926 2.363
Mg 0.909 1.574 2.363
Mg 5.688 0.000 2.363
Cd 0.000 4.334 2.363
Cd 3.753 2.167 2.363
In 0.000 0.000 0.000
```



Record 11
DFT (PBE) results for a geometry-optimized Ga2Pd structure.

Values from the calculation:
Space group: No. 62

The structure in extended XYZ format:
```
12
Lattice="6.803 0.000 0.000 0.000 3.289 0.000 0.000 0.000 8.739" Properties=species:S:1:pos:R:3 pbc="T T T"
Ga 0.315 0.822 1.262
Ga 0.945 0.822 4.891
Ga 2.457 2.467 0.521
Ga 3.086 2.467 5.632
Ga 3.717 0.822 3.107
Ga 4.347 0.822 8.218
Ga 5.859 2.467 3.848
Ga 6.488 2.467 7.477
Pd 1.641 2.467 2.963
Pd 1.761 0.822 7.332
Pd 5.043 2.467 1.407
Pd 5.162 0.822 5.777
```



Record 12
DFT (PBE) results for a geometry-optimized YOsPb2O6 structure.

Values from the calculation:
Space group: No. 225
Relative energy among the computed polymorphs, meV/atom: 36

The structure in extended XYZ format:
```
10
Lattice="0.000 4.132 4.132 4.132 0.000 4.132 4.132 4.132 0.000" Properties=species:S:1:pos:R:3 pbc="T T T"
Y 0.000 0.000 0.000
Os 4.132 4.132 4.132
Pb 2.066 2.066 2.066
Pb 6.198 6.198 6.198
O 4.132 4.132 2.198
O 4.132 2.198 4.132
O 6.066 4.132 4.132
O 2.198 4.132 4.132
O 4.132 6.066 4.132
O 4.132 4.132 6.066
```



Number 1: calculated volume 206.0 Å³/cell, E -8.09 eV per atom. Number 2: calculated volume 191.3 Å³/cell, E -5.11 eV per atom. Number 3: calculated volume 239.2 Å³/cell, E -5.28 eV per atom. Number 4: calculated volume 485.3 Å³/cell, E -5.01 eV per atom. Number 5: calculated volume 158.7 Å³/cell, E -3.32 eV per atom. Number 6: calculated volume 145.4 Å³/cell, E -5.19 eV per atom. Number 7: calculated volume 91.9 Å³/cell, E -2.96 eV per atom. Number 8: calculated volume 324.3 Å³/cell, E -2.30 eV per atom. Number 9: calculated volume 85.5 Å³/cell, E -8.49 eV per atom. Number 10: calculated volume 230.6 Å³/cell, E -2.86 eV per atom. Number 11: calculated volume 195.6 Å³/cell, E -4.18 eV per atom. Number 12: calculated volume 141.1 Å³/cell, E -7.09 eV per atom.